(1)
The following is a GGA-PBEsol calculation of an optimized crystal structure of Al21Pd8, from Alexandria via LeMat-Bulk.

Unit cell a=10.598 b=10.598 c=10.598 alpha=104.64 beta=104.64 gamma=119.64
Sites, in units of the cell vectors:
Al 0.013 0.928 0.588
Al 0.065 0.671 0.285
Al 0.075 0.487 0.415
Al 0.075 0.805 0.083
Al 0.114 0.220 0.785
Al 0.140 0.883 0.822
Al 0.160 0.575 0.088
Al 0.171 0.386 0.607
Al 0.176 0.135 0.023
Al 0.182 0.360 0.243
Al 0.222 0.992 0.417
Al 0.280 0.565 0.893
Al 0.305 0.722 0.729
Al 0.347 0.324 0.459
Al 0.365 0.888 0.041
Al 0.375 0.125 0.250
Al 0.383 0.061 0.743
Al 0.388 0.847 0.523
Al 0.428 0.340 0.915
Al 0.439 0.682 0.322
Al 0.492 0.575 0.771
Al 0.508 0.425 0.229
Al 0.561 0.318 0.678
Al 0.572 0.660 0.085
Al 0.612 0.153 0.477
Al 0.617 0.939 0.257
Al 0.625 0.875 0.750
Al 0.635 0.112 0.959
Al 0.653 0.676 0.541
Al 0.695 0.278 0.271
Al 0.720 0.435 0.107
Al 0.778 0.008 0.583
Al 0.818 0.640 0.757
Al 0.824 0.865 0.977
Al 0.829 0.614 0.393
Al 0.840 0.425 0.912
Al 0.860 0.117 0.178
Al 0.886 0.780 0.215
Al 0.925 0.195 0.917
Al 0.925 0.513 0.585
Al 0.935 0.329 0.715
Al 0.987 0.072 0.412
Pd 0.069 0.633 0.864
Pd 0.090 0.063 0.214
Pd 0.133 0.769 0.563
Pd 0.269 0.206 0.636
Pd 0.294 0.431 0.063
Pd 0.349 0.876 0.286
Pd 0.376 0.590 0.527
Pd 0.437 0.151 0.027
Pd 0.563 0.849 0.973
Pd 0.624 0.410 0.473
Pd 0.651 0.124 0.714
Pd 0.706 0.569 0.937
Pd 0.731 0.794 0.364
Pd 0.867 0.231 0.437
Pd 0.910 0.937 0.786
Pd 0.931 0.367 0.136

E_form: -0.57 eV/atom
magnetization: 0.0 μB per formula unit

---

(2)
The following is a GGA-PBEsol calculation of an optimized crystal structure of Al3Pd2, from Alexandria via LeMat-Bulk.

Unit cell a=4.198 b=4.198 c=5.160 alpha=90.00 beta=90.00 gamma=120.00
Sites, in units of the cell vectors:
Al 0.000 0.000 0.000
Al 0.333 0.667 0.645
Al 0.667 0.333 0.355
Pd 0.333 0.667 0.156
Pd 0.667 0.333 0.844

E_form: -0.79 eV/atom
magnetization: 0.0 μB per formula unit

---

(3)
The following is a GGA-PBEsol calculation of an optimized crystal structure of AlPd, from Alexandria via LeMat-Bulk.

Unit cell a=9.164 b=9.164 c=9.164 alpha=116.42 beta=116.42 gamma=116.42
Sites, in units of the cell vectors:
Al 0.000 0.000 0.000
Al 0.098 0.253 0.654
Al 0.153 0.402 0.444
Al 0.253 0.654 0.098
Al 0.346 0.902 0.747
Al 0.402 0.444 0.153
Al 0.444 0.153 0.402
Al 0.556 0.847 0.598
Al 0.598 0.556 0.847
Al 0.654 0.098 0.253
Al 0.747 0.346 0.902
Al 0.847 0.598 0.556
Al 0.902 0.747 0.346
Pd 0.054 0.343 0.097
Pd 0.097 0.054 0.343
Pd 0.156 0.599 0.752
Pd 0.248 0.844 0.401
Pd 0.343 0.097 0.054
Pd 0.401 0.248 0.844
Pd 0.500 0.500 0.500
Pd 0.599 0.752 0.156
Pd 0.657 0.903 0.946
Pd 0.752 0.156 0.599
Pd 0.844 0.401 0.248
Pd 0.903 0.946 0.657
Pd 0.946 0.657 0.903

E_form: -0.93 eV/atom
magnetization: 0.0 μB per formula unit

---

(4)
The following is a GGA-PBEsol calculation of an optimized crystal structure of RbAl2Pd2, from Alexandria via LeMat-Bulk.

Unit cell a=8.018 b=8.018 c=2.815 alpha=90.00 beta=90.00 gamma=90.00
Sites, in units of the cell vectors:
Rb 0.000 0.000 0.000
Rb 0.500 0.500 0.000
Al 0.122 0.378 0.500
Al 0.378 0.878 0.500
Al 0.622 0.122 0.500
Al 0.878 0.622 0.500
Pd 0.165 0.665 0.000
Pd 0.335 0.165 0.000
Pd 0.665 0.835 0.000
Pd 0.835 0.335 0.000

E_form: -0.35 eV/atom
magnetization: 0.0 μB per formula unit

---

(5)
The following is a GGA-PBEsol calculation of an optimized crystal structure of RbSr2AlPd, from Alexandria via LeMat-Bulk.

Unit cell a=6.091 b=6.091 c=6.022 alpha=90.00 beta=90.00 gamma=90.00
Sites, in units of the cell vectors:
Rb 0.000 0.000 0.000
Sr 0.000 0.500 0.500
Sr 0.500 0.000 0.500
Al 0.000 0.000 0.500
Pd 0.500 0.500 0.000

E_form: 0.63 eV/atom
magnetization: 0.0 μB per formula unit

---

(6)
The following is a GGA-PBEsol calculation of an optimized crystal structure of Al2PdRu, from Alexandria via LeMat-Bulk.

Unit cell a=5.989 b=5.989 c=5.989 alpha=90.00 beta=90.00 gamma=90.00
Sites, in units of the cell vectors:
Al 0.250 0.250 0.250
Al 0.250 0.250 0.750
Al 0.250 0.750 0.250
Al 0.250 0.750 0.750
Al 0.750 0.250 0.250
Al 0.750 0.250 0.750
Al 0.750 0.750 0.250
Al 0.750 0.750 0.750
Pd 0.000 0.000 0.000
Pd 0.000 0.500 0.500
Pd 0.500 0.000 0.500
Pd 0.500 0.500 0.000
Ru 0.000 0.000 0.500
Ru 0.000 0.500 0.000
Ru 0.500 0.000 0.000
Ru 0.500 0.500 0.500

E_form: -0.80 eV/atom
magnetization: 0.0 μB per formula unit

---

(7)
The following is a GGA-PBEsol calculation of an optimized crystal structure of ScAl2Pd, from Alexandria via LeMat-Bulk.

Unit cell a=6.348 b=6.348 c=6.348 alpha=90.00 beta=90.00 gamma=90.00
Sites, in units of the cell vectors:
Sc 0.000 0.000 0.000
Sc 0.000 0.500 0.500
Sc 0.500 0.000 0.500
Sc 0.500 0.500 0.000
Al 0.250 0.250 0.250
Al 0.250 0.250 0.750
Al 0.250 0.750 0.250
Al 0.250 0.750 0.750
Al 0.750 0.250 0.250
Al 0.750 0.250 0.750
Al 0.750 0.750 0.250
Al 0.750 0.750 0.750
Pd 0.000 0.000 0.500
Pd 0.000 0.500 0.000
Pd 0.500 0.000 0.000
Pd 0.500 0.500 0.500

E_form: -0.59 eV/atom
magnetization: 0.0 μB per formula unit

---

(8)
The following is a GGA-PBEsol calculation of an optimized crystal structure of AlPdSe2, from Alexandria via LeMat-Bulk.

Unit cell a=3.686 b=3.686 c=22.739 alpha=90.00 beta=90.00 gamma=120.00
Sites, in units of the cell vectors:
Al 0.000 0.000 0.000
Al 0.333 0.667 0.667
Al 0.667 0.333 0.333
Pd 0.000 0.000 0.500
Pd 0.333 0.667 0.167
Pd 0.667 0.333 0.833
Se 0.000 0.000 0.107
Se 0.000 0.000 0.893
Se 0.333 0.667 0.559
Se 0.333 0.667 0.774
Se 0.667 0.333 0.226
Se 0.667 0.333 0.441

raw formation energy: -0.07 eV/atom
magnetization: 0.0 μB per formula unit